Record 1
First-principles (PBE) data for crystalline CaBeSe2N at its relaxed geometry, as listed in Alexandria via LeMat-Bulk.

Cell lengths 5.2250, 5.2250, 3.2246 Å; angles 90.00, 90.00, 90.00 degrees
With the nearest neighbours (Å) after each atom.
Positions (direct):
1 Se 0.0000 0.5000 0.0000  2 Be 2.61
2 Se 0.5000 0.0000 0.0000  2 Be 2.61
3 Be 0.0000 0.0000 0.0000  2 N 1.61
4 N 0.0000 0.0000 0.5000  2 Be 1.61
5 Ca 0.5000 0.5000 0.5000  8 Se 3.07, 2 Ca 3.22

offset from the most stable computed form = 0.000 eV/atom
calculated volume = 88.03 Å³ per cell
density of states at the Fermi level = 3.27 states/eV/f.u.

Record 2
First-principles (PBE) data for crystalline Li12Zn3Pt at its relaxed geometry, as listed in Alexandria via LeMat-Bulk.

Cell lengths 3.9619, 3.9619, 16.1924 Å; angles 90.00, 90.00, 90.00 degrees
With the nearest neighbours (Å) after each atom.
Positions (direct):
1 Zn 0.0000 0.0000 0.7589  12 Li 2.80-2.89
2 Zn 0.0000 0.0000 0.5000  12 Li 2.80-2.88
3 Li 0.5000 0.0000 0.6292  8 Li 2.80-2.88, 4 Zn 2.88-2.89
4 Li 0.5000 0.5000 0.2427  4 Zn 2.80, 8 Li 2.87-2.90
5 Pt 0.0000 0.0000 0.0000  12 Li 2.69-2.80
6 Li 0.5000 0.0000 0.1120  8 Li 2.69-2.90, 2 Pt 2.69, 2 Zn 2.88
7 Li 0.5000 0.5000 0.7573  4 Zn 2.80, 8 Li 2.87-2.90
8 Li 0.0000 0.5000 0.1120  8 Li 2.69-2.90, 2 Pt 2.69, 2 Zn 2.88
9 Li 0.5000 0.5000 0.0000  8 Li 2.69, 4 Pt 2.80
10 Li 0.0000 0.5000 0.8880  2 Pt 2.69, 8 Li 2.69-2.90, 2 Zn 2.88
11 Li 0.0000 0.5000 0.3708  8 Li 2.80-2.88, 4 Zn 2.88-2.89
12 Li 0.5000 0.5000 0.5000  4 Zn 2.80, 8 Li 2.88
13 Li 0.0000 0.5000 0.6292  8 Li 2.80-2.88, 4 Zn 2.88-2.89
14 Zn 0.0000 0.0000 0.2411  12 Li 2.80-2.89
15 Li 0.5000 0.0000 0.3708  8 Li 2.80-2.88, 4 Zn 2.88-2.89
16 Li 0.5000 0.0000 0.8880  2 Pt 2.69, 8 Li 2.69-2.90, 2 Zn 2.88

energy of formation = -0.16 eV/atom
calculated volume = 254.17 Å³ per cell
density of states at the Fermi level = 4.74 states/eV/f.u.

Record 3
First-principles (PBE) data for crystalline Mn3Be8V at its relaxed geometry, as listed in Alexandria via LeMat-Bulk.

Cell lengths 4.1929, 4.1929, 6.8570 Å; angles 90.00, 90.00, 120.00 degrees
With the nearest neighbours (Å) after each atom.
Positions (direct):
1 Be 0.3333 0.6667 0.0006  6 Be 2.09
2 Mn 0.6667 0.3333 0.0625  12 Be 2.42-2.46, 4 Mn 2.57-2.58
3 Be 0.1638 0.3276 0.2464  6 Be 2.06-2.13
4 Be 0.6724 0.8362 0.2464  6 Be 2.06-2.13
5 V 0.0000 0.0000 0.5619  12 Be 2.46-2.48, 4 Mn 2.56-2.57
6 Be 0.5035 0.4965 0.7542  6 Be 2.05-2.15
7 Mn 0.0000 0.0000 0.9366  12 Be 2.43-2.46, 1 V 2.57, 3 Mn 2.57
8 Be 0.1638 0.8362 0.2464  6 Be 2.06-2.13
9 Be 0.3333 0.6667 0.4978  6 Be 2.12-2.15
10 Mn 0.6667 0.3333 0.4391  12 Be 2.45-2.48, 3 V 2.56, 1 Mn 2.58
11 Be 0.5035 0.0069 0.7542  6 Be 2.05-2.15
12 Be 0.9931 0.4965 0.7542  6 Be 2.05-2.15

energy of formation = -0.29 eV/atom
calculated volume = 104.40 Å³ per cell
density of states at the Fermi level = 5.26 states/eV/f.u.

Record 4
First-principles (PBE) data for crystalline Cr2CuIr2 at its relaxed geometry, as listed in Alexandria via LeMat-Bulk.

Cell lengths 7.2282, 7.2282, 2.6670 Å; angles 90.00, 90.00, 90.00 degrees
With the nearest neighbours (Å) after each atom.
Positions (direct):
1 Ir 0.6708 0.8292 0.5000  6 Cr 2.51-2.54, 2 Ir 2.67
2 Ir 0.8292 0.3292 0.5000  6 Cr 2.51-2.54, 2 Ir 2.67
3 Cr 0.1178 0.3822 0.0000  3 Cr 2.41-2.67, 6 Ir 2.51-2.54
4 Cu 0.0000 0.0000 0.0000  2 Cu 2.67, 4 Cr 2.89
5 Cr 0.3822 0.8822 0.0000  3 Cr 2.41-2.67, 6 Ir 2.51-2.54
6 Cr 0.8822 0.6178 0.0000  3 Cr 2.41-2.67, 6 Ir 2.51-2.54
7 Cr 0.6178 0.1178 0.0000  3 Cr 2.41-2.67, 6 Ir 2.51-2.54
8 Ir 0.3292 0.1708 0.5000  6 Cr 2.51-2.54, 2 Ir 2.67
9 Ir 0.1708 0.6708 0.5000  6 Cr 2.51-2.54, 2 Ir 2.67
10 Cu 0.5000 0.5000 0.0000  2 Cu 2.67, 4 Cr 2.89

energy of formation = 0.11 eV/atom
offset from the most stable computed form = 0.025 eV/atom
calculated volume = 139.35 Å³ per cell
density of states at the Fermi level = 4.20 states/eV/f.u.

Record 5
First-principles (PBE) data for crystalline Pu4GaPd4 at its relaxed geometry, as listed in Alexandria via LeMat-Bulk.

Cell lengths 4.8984, 6.2118, 6.2118 Å; angles 81.06, 66.78, 66.78 degrees
With the nearest neighbours (Å) after each atom.
Positions (direct):
1 Pd 0.0000 0.6656 0.3344  1 Pd 2.67, 1 Ga 2.70, 2 Pu 2.86
2 Pu 0.6463 0.0001 0.7072  2 Pu 2.36
3 Pd 0.3344 0.6656 0.6656  1 Pd 2.67, 1 Ga 2.70, 2 Pu 2.86
4 Pu 0.3535 0.2928 0.0001  2 Pu 2.36
5 Ga 0.0000 0.0000 0.0000  4 Pd 2.70, 8 Pu 2.97
6 Pu 0.3537 0.9999 0.2928  2 Pu 2.36
7 Pu 0.6465 0.7072 0.9999  2 Pu 2.36
8 Pd 0.0000 0.3344 0.6656  1 Pd 2.67, 1 Ga 2.70, 2 Pu 2.86
9 Pd 0.6656 0.3344 0.3344  1 Pd 2.67, 1 Ga 2.70, 2 Pu 2.86

energy of formation = -0.15 eV/atom
calculated volume = 159.63 Å³ per cell
density of states at the Fermi level = 15.11 states/eV/f.u.

Record 6
First-principles (PBE) data for crystalline Rb2Tl5Cd4 at its relaxed geometry, as listed in Alexandria via LeMat-Bulk.

Cell lengths 6.8652, 8.0512, 8.0271 Å; angles 76.84, 63.91, 63.93 degrees
With the nearest neighbours (Å) after each atom.
Positions (direct):
1 Cd 0.6912 0.9071 0.5930  3 Tl 3.07-3.25, 2 Cd 3.14-3.22
2 Cd 0.3096 0.4074 0.0927  3 Tl 3.06-3.25, 2 Cd 3.14-3.20
3 Cd 0.6904 0.5926 0.9073  3 Tl 3.06-3.25, 2 Cd 3.14-3.20
4 Tl 0.7767 0.8025 0.1532  2 Cd 3.12-3.25, 2 Tl 3.39-3.49
5 Tl 0.0000 0.5000 0.5000  4 Cd 3.06-3.07
6 Tl 0.2207 0.8478 0.1962  2 Cd 3.13-3.25, 2 Tl 3.39-3.49
7 Cd 0.3088 0.0929 0.4070  3 Tl 3.07-3.25, 2 Cd 3.14-3.22
8 Rb 0.2712 0.6897 0.6891  6 Cd 3.55-3.94, 3 Tl 3.73-3.76
9 Tl 0.2233 0.1975 0.8468  2 Cd 3.12-3.25, 2 Tl 3.39-3.49
10 Tl 0.7793 0.1522 0.8038  2 Cd 3.13-3.25, 2 Tl 3.39-3.49
11 Rb 0.7288 0.3103 0.3109  6 Cd 3.55-3.94, 3 Tl 3.73-3.76

energy of formation = -0.01 eV/atom
calculated volume = 357.60 Å³ per cell
density of states at the Fermi level = 5.84 states/eV/f.u.